# 1
K9Rb2Cd3: optimized geometry, PBE.

density of states at the Fermi level = 15.0 states/eV/cell
theoretical density = 1.8 g/cm³
formation enthalpy at 0 K = -1 meV per atom

abc: 11.4628 11.4628 15.6794
angles: 111.02 111.02 59.51
Atoms (fractional coordinates):
K (0.0119, 0.1904, 0.0416)
K (0.0809, 0.6818, 0.2527)
K (0.1435, 0.3229, 0.4310)
K (0.1578, 0.8422, 0.7500)
K (0.1904, 0.0119, 0.5416)
K (0.3182, 0.9191, 0.2473)
K (0.3229, 0.1435, 0.9310)
K (0.3726, 0.5094, 0.0724)
K (0.4906, 0.6274, 0.4276)
K (0.5094, 0.3726, 0.5724)
K (0.6274, 0.4906, 0.9276)
K (0.6771, 0.8565, 0.0690)
K (0.6818, 0.0809, 0.7527)
K (0.8096, 0.9881, 0.4584)
K (0.8422, 0.1578, 0.2500)
K (0.8565, 0.6771, 0.5690)
K (0.9191, 0.3182, 0.7473)
K (0.9881, 0.8096, 0.9584)
Rb (0.2446, 0.4143, 0.7504)
Rb (0.4143, 0.2446, 0.2504)
Rb (0.5857, 0.7554, 0.7496)
Rb (0.7554, 0.5857, 0.2496)
Cd (0.0000, 0.5000, 0.0000)
Cd (0.1665, 0.6642, 0.5004)
Cd (0.3358, 0.8335, 0.9996)
Cd (0.5000, 0.0000, 0.5000)
Cd (0.6642, 0.1665, 0.0004)
Cd (0.8335, 0.3358, 0.4996)

# 2
K2RbCd2: optimized geometry, PBE.

density of states at the Fermi level = 3.3 states/eV/cell
theoretical density = 2.6 g/cm³
formation enthalpy at 0 K = -36 meV per atom
energy above the most stable polymorph in this dataset = 0.07 eV per formula unit

abc: 7.6791 7.6791 7.1135
angles: 101.20 101.20 37.60
Atoms (fractional coordinates):
K (0.1467, 0.1467, 0.0651)
K (0.8533, 0.8533, 0.9349)
Rb (0.5000, 0.5000, 0.5000)
Cd (0.2241, 0.2241, 0.5908)
Cd (0.7759, 0.7759, 0.4092)

# 3
K3RbCd: optimized geometry, PBE.

density of states at the Fermi level = 14.1 states/eV/cell
theoretical density = 1.7 g/cm³
formation enthalpy at 0 K = 3 meV per atom
energy above the most stable polymorph in this dataset = 0.00 eV per formula unit

abc: 12.8999 12.8999 8.6831
angles: 98.62 98.62 60.77
Atoms (fractional coordinates):
K (0.0045, 0.3340, 0.5816)
K (0.0133, 0.6569, 0.9211)
K (0.3258, 0.3346, 0.3954)
K (0.3340, 0.0045, 0.0816)
K (0.3346, 0.3258, 0.8954)
K (0.3431, 0.9867, 0.5789)
K (0.6569, 0.0133, 0.4211)
K (0.6654, 0.6742, 0.1046)
K (0.6660, 0.9955, 0.9184)
K (0.6742, 0.6654, 0.6046)
K (0.9867, 0.3431, 0.0789)
K (0.9955, 0.6660, 0.4184)
Rb (0.0584, 0.9416, 0.7500)
Rb (0.3662, 0.6338, 0.2500)
Rb (0.6338, 0.3662, 0.7500)
Rb (0.9416, 0.0584, 0.2500)
Cd (0.2735, 0.5945, 0.6946)
Cd (0.4055, 0.7265, 0.8054)
Cd (0.5945, 0.2735, 0.1946)
Cd (0.7265, 0.4055, 0.3054)